Here is an optimized crystal structure of Ho4Ag3Hg from Alexandria via LeMat-Bulk. Energies are from PBE.

Cell: 3.6293 5.1660 10.3111 Å, 90.00 90.00 90.00°
Space group Pmmm (No. 47)
Inequivalent atoms, fractional coordinates:
Ho 0.0000 0.0000 0.0000 x1
Ho 0.0000 0.0000 0.5000 x1
Ho 0.0000 0.5000 0.2462 x2
Ag 0.5000 0.0000 0.2489 x2
Ag 0.5000 0.5000 0.0000 x1
Hg 0.5000 0.5000 0.5000 x1

Computed properties:
- VASP energy: -0.138 Ha/atom
- ΔE_f: -0.365 eV per atom
- Distance to the lowest polymorph of the same formula: 0 meV/atom